Sr4VF10 | PBE+U | optimized geometry

Unit cell a=4.0865 b=4.0865 c=48.9919 alpha=90.00 beta=90.00 gamma=120.00
Space group R-3m (No. 166, hexagonal axes)
Asymmetric unit:
1 Sr 0.0000 0.0000 0.1051 (multiplicity 6)
2 Sr 0.0000 0.0000 0.2984 (multiplicity 6)
3 V 0.0000 0.0000 0.5000 (multiplicity 3)
4 F 0.0000 0.0000 0.0527 (multiplicity 6)
5 F 0.0000 0.0000 0.1555 (multiplicity 6)
6 F 0.0000 0.0000 0.2460 (multiplicity 6)
7 F 0.0000 0.0000 0.3505 (multiplicity 6)
8 F 0.0000 0.0000 0.4563 (multiplicity 6)

## Properties
**Energy**: -5.791 eV per atom
**Spin magnetization**: 3.00 μB/f.u.